Density functional theory data (PBE with a Hubbard U) for an optimized crystal structure of CuNiNF2.

- ΔE to the lowest computed polymorph (meV per atom) = 0
- E (eV per atom) = -3.88

a = 3.8948 Å, b = 3.8948 Å, c = 3.8597 Å
α = 90.00°, β = 90.00°, γ = 90.00°
Closest atoms and distances in Å follow each position.
Element x y z (fractional)
Ni1 0.0000 0.0000 0.0000  2 N 1.93, 4 F 1.95
N1 0.0000 0.0000 0.5000  2 Ni 1.93
Cu1 0.5000 0.5000 0.5000  8 F 2.74, 4 N 2.75
F1 0.0000 0.5000 0.0000  2 Ni 1.95
F2 0.5000 0.0000 0.0000  2 Ni 1.95